# 1
First-principles (GGA-PBE) data for a relaxed structure of LiPd4, as listed in the Alexandria database.

Cell and atoms, written as POSCAR:
```
LiPd4
1.0
-2.4206 2.4206 4.1315
2.4206 -2.4206 4.1315
2.4206 2.4206 -4.1315
Li Pd
1 4
direct
0.0000 0.0000 0.0000
0.2500 0.7500 0.5000
0.3493 0.3493 0.0000
0.6507 0.6507 0.0000
0.7500 0.2500 0.5000
```

* D(E_F): 6.02 states/eV/f.u.
* offset from the most stable computed form: 462 meV/atom
* DFT formation energy: 0.31 eV per atom

***

# 2
First-principles (GGA-PBE) data for a relaxed structure of CsKCeBr6, as listed in the Alexandria database.

Cell and atoms, written as POSCAR:
```
CsKCeBr6
1.0
8.2037 0.0000 0.0000
-4.1019 7.1046 0.0000
0.0000 0.0000 14.7597
Cs K Ce Br
2 2 2 12
direct
0.0000 0.0000 0.0000
0.0000 0.0000 0.5000
0.3333 0.6667 0.2500
0.6667 0.3333 0.7500
0.3333 0.6667 0.7500
0.6667 0.3333 0.2500
0.0480 0.3936 0.6403
0.0480 0.6544 0.8597
0.3456 0.3936 0.8597
0.3456 0.9520 0.6403
0.3936 0.0480 0.1403
0.3936 0.3456 0.3597
0.6064 0.6544 0.6403
0.6064 0.9520 0.8597
0.6544 0.0480 0.3597
0.6544 0.6064 0.1403
0.9520 0.3456 0.1403
0.9520 0.6064 0.3597
```

* energy relative to the elements, uncorrected: -1711 meV per atom

***

Calculated values (eV/f.u.) of final energy for the records, taken in order: -21.2; -33.3.